1.
Ce2AlRh3: optimized geometry, GGA-PBE.

a = 5.1125 Å, b = 5.1125 Å, c = 5.1125 Å
α = 67.51°, β = 67.51°, γ = 67.51°
Closest atoms and distances in Å follow each position.
Fractional coordinates of all 6 atoms:
Ce1 0.3727 0.3727 0.3727  9 Rh 2.93-3.21, 1 Ce 2.99
Rh1 0.0000 0.5000 0.0000  2 Al 2.56, 4 Rh 2.84
Rh2 0.0000 0.0000 0.5000  2 Al 2.56, 4 Rh 2.84
Al1 0.0000 0.0000 0.0000  6 Rh 2.56
Ce2 0.6273 0.6273 0.6273  9 Rh 2.93-3.21, 1 Ce 2.99
Rh3 0.5000 0.0000 0.0000  2 Al 2.56, 4 Rh 2.84

Properties
Calculated formation energy = -5.3 eV/f.u.
Electronic total energy = -7.1574 eV per atom

2.
CeAlRh: optimized geometry, GGA-PBE.

a = 4.2051 Å, b = 7.1054 Å, c = 15.8436 Å
α = 90.00°, β = 90.00°, γ = 90.00°
Closest atoms and distances in Å follow each position.
Fractional coordinates of all 24 atoms:
Al1 0.2500 0.5053 0.4380  4 Rh 2.63-2.65, 3 Al 2.88-2.92
Al2 0.7500 0.4947 0.5620  4 Rh 2.63-2.65, 3 Al 2.88-2.92
Rh1 0.7500 0.2792 0.4269  5 Al 2.61-2.65, 1 Ce 2.71
Al3 0.7500 0.9947 0.9380  4 Rh 2.63-2.65, 3 Al 2.88-2.92
Al4 0.2500 0.1443 0.3501  4 Rh 2.61-2.80, 1 Al 2.92
Ce1 0.2500 0.0271 0.7794  5 Rh 2.71-3.01
Ce2 0.7500 0.3470 0.0589  5 Rh 2.93-3.10, 3 Al 3.15-3.21
Rh2 0.2500 0.7208 0.5731  5 Al 2.61-2.65, 1 Ce 2.71
Ce3 0.7500 0.4729 0.2794  5 Rh 2.71-3.01
Ce4 0.7500 0.9729 0.2206  5 Rh 2.71-3.01
Al5 0.2500 0.0053 0.0620  4 Rh 2.63-2.65, 3 Al 2.88-2.92
Al6 0.7500 0.3557 0.8501  4 Rh 2.61-2.80, 1 Al 2.92
Al7 0.7500 0.8557 0.6499  4 Rh 2.61-2.80, 1 Al 2.92
Ce5 0.2500 0.1530 0.5589  5 Rh 2.93-3.10, 3 Al 3.15-3.21
Rh3 0.2500 0.2643 0.1820  3 Al 2.65-2.80, 2 Ce 2.93
Al8 0.2500 0.6443 0.1499  4 Rh 2.61-2.80, 1 Al 2.92
Ce6 0.2500 0.6530 0.9411  5 Rh 2.93-3.10, 3 Al 3.15-3.21
Ce7 0.2500 0.5271 0.7206  5 Rh 2.71-3.01
Rh4 0.2500 0.7643 0.3180  3 Al 2.65-2.80, 2 Ce 2.93
Rh5 0.7500 0.2357 0.6820  3 Al 2.65-2.80, 2 Ce 2.93
Rh6 0.2500 0.2208 0.9269  5 Al 2.61-2.65, 1 Ce 2.71
Ce8 0.7500 0.8470 0.4411  5 Rh 2.93-3.10, 3 Al 3.15-3.21
Rh7 0.7500 0.7792 0.0731  5 Al 2.61-2.65, 1 Ce 2.71
Rh8 0.7500 0.7357 0.8180  3 Al 2.65-2.80, 2 Ce 2.93

Properties
Calculated formation energy = -2.6 eV/f.u.
Electronic total energy = -6.5292 eV per atom

3.
Ce4AlRh2: optimized geometry, GGA-PBE.

a = 4.8934 Å, b = 4.8934 Å, c = 8.9893 Å
α = 74.21°, β = 74.21°, γ = 60.00°
Closest atoms and distances in Å follow each position.
Fractional coordinates of all 7 atoms:
Rh1 0.9003 0.9003 0.2992  1 Al 2.55
Ce1 0.6156 0.6156 0.1532  3 Rh 3.09, 3 Al 3.11, 3 Ce 3.36
Ce2 0.2115 0.2115 0.3655  4 Rh 2.86-2.88
Ce3 0.7885 0.7885 0.6345  4 Rh 2.86-2.88
Ce4 0.3844 0.3844 0.8468  3 Rh 3.09, 3 Al 3.11, 3 Ce 3.36
Rh2 0.0997 0.0997 0.7008  1 Al 2.55
Al1 0.0000 0.0000 0.0000  2 Rh 2.55

Properties
Calculated formation energy = -2.6 eV/f.u.
Electronic total energy = -6.3974 eV per atom

4.
Ce2Al9Rh3: optimized geometry, GGA-PBE.

a = 7.6240 Å, b = 7.6240 Å, c = 9.4705 Å
α = 90.00°, β = 90.00°, γ = 119.46°
Closest atoms and distances in Å follow each position.
Fractional coordinates of all 28 atoms:
Al1 0.9973 0.6641 0.5756  3 Rh 2.60-2.65, 4 Al 2.76-2.90
Ce1 0.9965 0.6716 0.2500  11 Al 3.06-3.20
Ce2 0.6716 0.9965 0.2500  11 Al 3.06-3.20
Al2 0.3341 0.3341 0.9500  3 Rh 2.61-2.64, 5 Al 2.72-2.88
Al3 0.8699 0.8699 0.7500  2 Rh 2.57, 6 Al 2.76-2.78
Al4 0.0027 0.3359 0.0756  3 Rh 2.60-2.65, 4 Al 2.76-2.90
Al5 0.5495 0.3424 0.2500  2 Rh 2.57, 4 Al 2.73-2.82
Al6 0.4505 0.6576 0.7500  2 Rh 2.57, 4 Al 2.73-2.82
Al7 0.3341 0.3341 0.5500  3 Rh 2.61-2.64, 5 Al 2.72-2.88
Rh1 0.6717 0.3283 0.0000  8 Al 2.57-2.64
Ce3 0.0035 0.3284 0.7500  11 Al 3.06-3.20
Al8 0.0027 0.3359 0.4244  3 Rh 2.60-2.65, 4 Al 2.76-2.90
Al9 0.3359 0.0027 0.0756  3 Rh 2.60-2.65, 4 Al 2.76-2.90
Al10 0.3424 0.5495 0.2500  2 Rh 2.57, 4 Al 2.73-2.82
Al11 0.3359 0.0027 0.4244  3 Rh 2.60-2.65, 4 Al 2.76-2.90
Rh2 0.3283 0.6717 0.0000  8 Al 2.57-2.64
Rh3 0.0000 0.0000 0.0000  8 Al 2.57-2.65
Rh4 0.6717 0.3283 0.5000  8 Al 2.57-2.64
Al12 0.6641 0.9973 0.5756  3 Rh 2.60-2.65, 4 Al 2.76-2.90
Ce4 0.3284 0.0035 0.7500  11 Al 3.06-3.20
Al13 0.6659 0.6659 0.0500  3 Rh 2.61-2.64, 5 Al 2.72-2.88
Al14 0.6641 0.9973 0.9244  3 Rh 2.60-2.65, 4 Al 2.76-2.90
Rh5 0.3283 0.6717 0.5000  8 Al 2.57-2.64
Al15 0.6659 0.6659 0.4500  3 Rh 2.61-2.64, 5 Al 2.72-2.88
Al16 0.6576 0.4505 0.7500  2 Rh 2.57, 4 Al 2.73-2.82
Al17 0.9973 0.6641 0.9244  3 Rh 2.60-2.65, 4 Al 2.76-2.90
Rh6 0.0000 0.0000 0.5000  8 Al 2.57-2.65
Al18 0.1301 0.1301 0.2500  2 Rh 2.57, 6 Al 2.76-2.78

Properties
Calculated formation energy = -11.1 eV/f.u.
Electronic total energy = -5.6231 eV per atom

5.
CeAlRh: optimized geometry, GGA-PBE.

a = 3.6849 Å, b = 4.4099 Å, c = 4.4099 Å
α = 120.00°, β = 90.00°, γ = 90.00°
Closest atoms and distances in Å follow each position.
Fractional coordinates of all 3 atoms:
Rh1 0.1666 0.3333 0.6667  3 Al 2.55
Ce1 0.6667 0.6667 0.3333  6 Rh 3.14, 6 Al 3.14
Al1 0.1667 0.0000 0.0000  3 Rh 2.55

Properties
Calculated formation energy = -2.0 eV/f.u.
Electronic total energy = -6.3402 eV per atom

6.
Ce2Al9Rh3: optimized geometry, GGA-PBE.

a = 7.6546 Å, b = 7.6546 Å, c = 10.4534 Å
α = 89.90°, β = 111.40°, γ = 120.27°
Closest atoms and distances in Å follow each position.
Fractional coordinates of all 28 atoms:
Rh1 0.5000 0.5000 0.5000  8 Al 2.58-2.64
Rh2 0.5000 0.0000 0.0000  8 Al 2.58-2.64
Al1 0.7856 0.3065 0.9267  3 Rh 2.62-2.63, 4 Al 2.76-2.91
Al2 0.1202 0.1411 0.4267  3 Rh 2.62-2.63, 4 Al 2.76-2.91
Rh3 0.1723 0.3428 0.0005  8 Al 2.55-2.65
Al3 0.4639 0.8156 0.4478  3 Rh 2.60-2.65, 4 Al 2.73-2.87
Al4 0.3269 0.2875 0.2476  2 Rh 2.55-2.58, 5 Al 2.76-2.80
Al5 0.8678 0.0162 0.0522  3 Rh 2.60-2.65, 4 Al 2.73-2.87
Al6 0.1211 0.8711 0.2500  2 Rh 2.57, 4 Al 2.76-2.78
Al7 0.2144 0.6935 0.0733  3 Rh 2.62-2.63, 4 Al 2.76-2.91
Al8 0.7807 0.4735 0.4242  3 Rh 2.60-2.65, 3 Al 2.78-2.80
Rh4 0.8277 0.6572 0.9995  8 Al 2.55-2.65
Rh5 0.1577 0.8282 0.5005  8 Al 2.55-2.65
Al9 0.8798 0.8589 0.5733  3 Rh 2.62-2.63, 4 Al 2.76-2.91
Ce1 0.9980 0.5853 0.7494  11 Al 3.05-3.16
Al10 0.5361 0.1844 0.5522  3 Rh 2.60-2.65, 4 Al 2.73-2.87
Al11 0.4507 0.6435 0.9242  3 Rh 2.60-2.65, 3 Al 2.78-2.80
Al12 0.1322 0.9838 0.9478  3 Rh 2.60-2.65, 4 Al 2.73-2.87
Ce2 0.3359 0.2485 0.7506  11 Al 3.05-3.16
Al13 0.4600 0.9206 0.7476  2 Rh 2.55-2.58, 5 Al 2.76-2.80
Al14 0.8789 0.1289 0.7500  2 Rh 2.57, 4 Al 2.76-2.78
Al15 0.6731 0.7125 0.7524  2 Rh 2.55-2.58, 5 Al 2.76-2.80
Ce3 0.6641 0.7515 0.2494  11 Al 3.05-3.16
Al16 0.2193 0.5265 0.5758  3 Rh 2.60-2.65, 3 Al 2.78-2.80
Al17 0.5400 0.0794 0.2524  2 Rh 2.55-2.58, 5 Al 2.76-2.80
Ce4 0.0020 0.4147 0.2506  11 Al 3.05-3.16
Al18 0.5493 0.3565 0.0758  3 Rh 2.60-2.65, 3 Al 2.78-2.80
Rh6 0.8423 0.1718 0.4995  8 Al 2.55-2.65

Properties
Calculated formation energy = -11.1 eV/f.u.
Electronic total energy = -5.6234 eV per atom

7.
Ce4AlRh12: optimized geometry, GGA-PBE.

a = 7.2185 Å, b = 7.2185 Å, c = 7.2185 Å
α = 109.47°, β = 109.47°, γ = 109.47°
Closest atoms and distances in Å follow each position.
Fractional coordinates of all 17 atoms:
Rh1 0.7500 0.5000 0.2500  8 Rh 2.75-2.95, 4 Ce 2.95
Rh2 0.7500 0.2500 0.5000  8 Rh 2.75-2.95, 4 Ce 2.95
Al1 0.0000 0.0000 0.0000  6 Rh 2.38
Rh3 0.2852 0.0000 0.2852  1 Al 2.38
Rh4 0.2852 0.2852 0.0000  1 Al 2.38
Ce1 0.5000 0.5000 0.5000  12 Rh 2.95-2.96
Ce2 0.5000 0.0000 0.0000  12 Rh 2.95-2.96
Rh5 0.5000 0.2500 0.7500  8 Rh 2.75-2.95, 4 Ce 2.95
Rh6 0.2500 0.5000 0.7500  8 Rh 2.75-2.95, 4 Ce 2.95
Rh7 0.0000 0.7148 0.7148  1 Al 2.38
Rh8 0.7148 0.7148 0.0000  1 Al 2.38
Rh9 0.2500 0.7500 0.5000  8 Rh 2.75-2.95, 4 Ce 2.95
Rh10 0.5000 0.7500 0.2500  8 Rh 2.75-2.95, 4 Ce 2.95
Rh11 0.0000 0.2852 0.2852  1 Al 2.38
Ce3 0.0000 0.5000 0.0000  12 Rh 2.95-2.96
Ce4 0.0000 0.0000 0.5000  12 Rh 2.95-2.96
Rh12 0.7148 0.0000 0.7148  1 Al 2.38

Properties
Calculated formation energy = -11.3 eV/f.u.
Electronic total energy = -7.4675 eV per atom

8.
CeAlRuRh: optimized geometry, GGA-PBE.

a = 4.6173 Å, b = 4.6173 Å, c = 4.6173 Å
α = 60.00°, β = 60.00°, γ = 60.00°
Closest atoms and distances in Å follow each position.
Fractional coordinates of all 4 atoms:
Ru1 0.7500 0.7500 0.7500  4 Ce 2.83, 4 Al 2.83
Ce1 0.5000 0.5000 0.5000  4 Rh 2.83, 4 Ru 2.83
Rh1 0.2500 0.2500 0.2500  4 Al 2.83, 4 Ce 2.83
Al1 0.0000 0.0000 0.0000  4 Ru 2.83, 4 Rh 2.83

Properties
Calculated formation energy = -2.5 eV/f.u.
Electronic total energy = -7.1928 eV per atom

9.
Ce2Al6RuRh: optimized geometry, GGA-PBE.

a = 6.6498 Å, b = 6.6492 Å, c = 6.6505 Å
α = 60.01°, β = 59.99°, γ = 90.00°
Closest atoms and distances in Å follow each position.
Fractional coordinates of all 10 atoms:
Ce1 0.2499 0.7500 0.5000  12 Al 3.32-3.33
Rh1 0.0000 0.0000 0.0000  6 Al 2.35
Ru1 0.5000 0.5000 0.0000  6 Al 2.35
Al1 0.2504 0.2504 0.4992  1 Ru 2.35, 1 Rh 2.35
Al2 0.7496 0.2504 0.0000  1 Ru 2.35, 1 Rh 2.35
Al3 0.2504 0.7496 0.0000  1 Ru 2.35, 1 Rh 2.35
Al4 0.7496 0.7496 0.5008  1 Ru 2.35, 1 Rh 2.35
Al5 0.7496 0.7496 0.0000  1 Ru 2.35, 1 Rh 2.35
Ce2 0.7501 0.2500 0.5000  12 Al 3.32-3.33
Al6 0.2504 0.2504 0.0000  1 Ru 2.35, 1 Rh 2.35

Properties
Calculated formation energy = -4.4 eV/f.u.
Electronic total energy = -5.5340 eV per atom

10.
Ce2AlSi4Rh3: optimized geometry, GGA-PBE.

a = 4.1129 Å, b = 4.1129 Å, c = 10.2271 Å
α = 90.00°, β = 90.00°, γ = 90.00°
Closest atoms and distances in Å follow each position.
Fractional coordinates of all 10 atoms:
Al1 0.5000 0.5000 0.5000  4 Si 2.53
Rh1 0.0000 0.5000 0.1230  5 Si 2.39-2.41
Rh2 0.5000 0.0000 0.8770  5 Si 2.39-2.41
Si1 0.0000 0.5000 0.3567  3 Rh 2.39-2.53, 2 Al 2.53
Ce1 0.5000 0.0000 0.2419  8 Si 3.14-3.22, 6 Rh 3.15-3.35, 2 Al 3.35
Si2 0.5000 0.0000 0.6433  3 Rh 2.39-2.53, 2 Al 2.53
Si3 0.0000 0.0000 0.0000  4 Rh 2.41
Rh3 0.0000 0.0000 0.5000  4 Si 2.53
Ce2 0.0000 0.5000 0.7581  8 Si 3.14-3.22, 6 Rh 3.15-3.35, 2 Al 3.35
Si4 0.5000 0.5000 0.0000  4 Rh 2.41

Properties
Electronic total energy = -6.8681 eV per atom
Formation energy (no corrections) = -0.9325 eV per atom

> Look up the electronic total energy of the eighth one.

-7.1928 eV per atom

> What is the formula in the fifth record?

CeAlRh

Copy entry 10 word for word.
Ce2AlSi4Rh3: optimized geometry, GGA-PBE.

a = 4.1129 Å, b = 4.1129 Å, c = 10.2271 Å
α = 90.00°, β = 90.00°, γ = 90.00°
Closest atoms and distances in Å follow each position.
Fractional coordinates of all 10 atoms:
Al1 0.5000 0.5000 0.5000  4 Si 2.53
Rh1 0.0000 0.5000 0.1230  5 Si 2.39-2.41
Rh2 0.5000 0.0000 0.8770  5 Si 2.39-2.41
Si1 0.0000 0.5000 0.3567  3 Rh 2.39-2.53, 2 Al 2.53
Ce1 0.5000 0.0000 0.2419  8 Si 3.14-3.22, 6 Rh 3.15-3.35, 2 Al 3.35
Si2 0.5000 0.0000 0.6433  3 Rh 2.39-2.53, 2 Al 2.53
Si3 0.0000 0.0000 0.0000  4 Rh 2.41
Rh3 0.0000 0.0000 0.5000  4 Si 2.53
Ce2 0.0000 0.5000 0.7581  8 Si 3.14-3.22, 6 Rh 3.15-3.35, 2 Al 3.35
Si4 0.5000 0.5000 0.0000  4 Rh 2.41

Properties
Electronic total energy = -6.8681 eV per atom
Formation energy (no corrections) = -0.9325 eV per atom

Repeat the third record exactly.
Ce4AlRh2: optimized geometry, GGA-PBE.

a = 4.8934 Å, b = 4.8934 Å, c = 8.9893 Å
α = 74.21°, β = 74.21°, γ = 60.00°
Closest atoms and distances in Å follow each position.
Fractional coordinates of all 7 atoms:
Rh1 0.9003 0.9003 0.2992  1 Al 2.55
Ce1 0.6156 0.6156 0.1532  3 Rh 3.09, 3 Al 3.11, 3 Ce 3.36
Ce2 0.2115 0.2115 0.3655  4 Rh 2.86-2.88
Ce3 0.7885 0.7885 0.6345  4 Rh 2.86-2.88
Ce4 0.3844 0.3844 0.8468  3 Rh 3.09, 3 Al 3.11, 3 Ce 3.36
Rh2 0.0997 0.0997 0.7008  1 Al 2.55
Al1 0.0000 0.0000 0.0000  2 Rh 2.55

Properties
Calculated formation energy = -2.6 eV/f.u.
Electronic total energy = -6.3974 eV per atom